No. 1
# GGA-PBE BaScTlCd, optimized geometry
data_BaScTlCd
_cell_length_a 7.893
_cell_length_b 7.893
_cell_length_c 7.893
_cell_angle_alpha 90.00
_cell_angle_beta 90.00
_cell_angle_gamma 90.00
_space_group_name_H-M_alt 'F -4 3 m'
_space_group_IT_number 216
_space_group_name_Hall 'F -4 2 3'
loop_
_atom_site_label
_atom_site_type_symbol
_atom_site_fract_x
_atom_site_fract_y
_atom_site_fract_z
Ba1 Ba 0.000 0.000 0.000
Sc1 Sc 0.000 0.000 0.500
Tl1 Tl 0.250 0.250 0.750
Cd1 Cd 0.250 0.250 0.250
# - Energy relative to the elements: -0.5 eV per formula unit
# - VASP energy: -12.1 eV/f.u.

***

No. 2
# GGA-PBE RbLaTlBi2, optimized geometry
data_RbLaTlBi2
_cell_length_a 6.230
_cell_length_b 6.230
_cell_length_c 6.763
_cell_angle_alpha 90.00
_cell_angle_beta 90.00
_cell_angle_gamma 90.00
_space_group_name_H-M_alt 'P 4/m m m'
_space_group_IT_number 123
_space_group_name_Hall '-P 4 2'
loop_
_atom_site_label
_atom_site_type_symbol
_atom_site_fract_x
_atom_site_fract_y
_atom_site_fract_z
Rb1 Rb 0.000 0.000 0.000
La1 La 0.000 0.000 0.500
Tl1 Tl 0.500 0.500 0.000
Bi1 Bi 0.000 0.500 0.500
# - Energy relative to the elements: 1.1 eV per formula unit
# - VASP energy: -14.9 eV/f.u.

***

No. 3
# GGA-PBE Ca3SiAs2Pd9, optimized geometry
data_Ca3SiAs2Pd9
_cell_length_a 6.5680
_cell_length_b 6.5680
_cell_length_c 8.3514
_cell_angle_alpha 90.00
_cell_angle_beta 90.00
_cell_angle_gamma 120.00
_space_group_name_H-M_alt 'P -3 m 1'
_space_group_IT_number 164
_space_group_name_Hall '-P 3 2"'
loop_
_atom_site_label
_atom_site_type_symbol
_atom_site_fract_x
_atom_site_fract_y
_atom_site_fract_z
Ca1 Ca 0.0000 0.0000 0.0000
Ca2 Ca 0.3333 0.6667 0.6755
Si1 Si 0.0000 0.0000 0.5000
As1 As 0.3333 0.6667 0.1881
Pd1 Pd 0.0000 0.5000 0.0000
Pd2 Pd 0.1407 0.2814 0.2940
# - ΔE_f (raw): -0.588 eV/atom
# - VASP energy: -76.3 eV/f.u.

***

No. 4
# GGA-PBE CrCo2Ir, optimized geometry
data_CrCo2Ir
_cell_length_a 3.506
_cell_length_b 3.506
_cell_length_c 16.741
_cell_angle_alpha 90.00
_cell_angle_beta 90.00
_cell_angle_gamma 90.00
_space_group_name_H-M_alt 'I -4 2 d'
_space_group_IT_number 122
_space_group_name_Hall 'I -4 2bw'
loop_
_atom_site_label
_atom_site_type_symbol
_atom_site_fract_x
_atom_site_fract_y
_atom_site_fract_z
Cr1 Cr 0.000 0.000 0.000
Co1 Co 0.242 0.250 0.125
Ir1 Ir 0.000 0.000 0.500
# - Relative energy among the computed polymorphs: 0.578 eV per atom
# - Energy relative to the elements: 2.0 eV per formula unit
# - VASP energy: -30.7 eV/f.u.

***

No. 5
# GGA-PBE GaAgSn3, optimized geometry
data_GaAgSn3
_cell_length_a 5.376
_cell_length_b 5.376
_cell_length_c 5.376
_cell_angle_alpha 90.00
_cell_angle_beta 90.00
_cell_angle_gamma 90.00
_space_group_name_H-M_alt 'P m -3 m'
_space_group_IT_number 221
_space_group_name_Hall '-P 4 2 3'
loop_
_atom_site_label
_atom_site_type_symbol
_atom_site_fract_x
_atom_site_fract_y
_atom_site_fract_z
Ga1 Ga 0.000 0.000 0.000
Ag1 Ag 0.500 0.500 0.500
Sn1 Sn 0.000 0.500 0.500
# - Relative energy among the computed polymorphs: 0.397 eV per atom
# - Energy relative to the elements: 2.4 eV per formula unit
# - VASP energy: -15.5 eV/f.u.

***

No. 6
# GGA-PBE Li2In3Bi4, optimized geometry
data_Li2In3Bi4
_cell_length_a 4.246
_cell_length_b 5.203
_cell_length_c 12.616
_cell_angle_alpha 80.95
_cell_angle_beta 82.95
_cell_angle_gamma 69.10
_space_group_name_H-M_alt 'P -1'
_space_group_IT_number 2
loop_
_space_group_symop_operation_xyz
'x,y,z'
'-x,-y,-z'
loop_
_atom_site_label
_atom_site_type_symbol
_atom_site_fract_x
_atom_site_fract_y
_atom_site_fract_z
Li1 Li 0.169 0.396 0.280
In1 In 0.172 0.719 0.943
In2 In 0.500 0.500 0.500
Bi1 Bi 0.145 0.055 0.627
Bi2 Bi 0.470 0.850 0.184
# - Energy relative to the elements: -1.0 eV per formula unit
# - VASP energy: -28.6 eV/f.u.

***

No. 7
# GGA-PBE LaCe4Pm, optimized geometry
data_LaCe4Pm
_cell_length_a 9.012
_cell_length_b 9.012
_cell_length_c 9.012
_cell_angle_alpha 90.00
_cell_angle_beta 90.00
_cell_angle_gamma 90.00
_space_group_name_H-M_alt 'F -4 3 m'
_space_group_IT_number 216
_space_group_name_Hall 'F -4 2 3'
loop_
_atom_site_label
_atom_site_type_symbol
_atom_site_fract_x
_atom_site_fract_y
_atom_site_fract_z
La1 La 0.000 0.000 0.000
Ce1 Ce 0.123 0.123 0.623
Pm1 Pm 0.250 0.250 0.250
# - Energy relative to the elements: 1.2 eV per formula unit
# - VASP energy: -32.3 eV/f.u.

***

No. 8
# GGA-PBE Ba3CdNi, optimized geometry
data_Ba3CdNi
_cell_length_a 6.027
_cell_length_b 6.027
_cell_length_c 6.027
_cell_angle_alpha 90.00
_cell_angle_beta 90.00
_cell_angle_gamma 90.00
_space_group_name_H-M_alt 'P m -3 m'
_space_group_IT_number 221
_space_group_name_Hall '-P 4 2 3'
loop_
_atom_site_label
_atom_site_type_symbol
_atom_site_fract_x
_atom_site_fract_y
_atom_site_fract_z
Ba1 Ba 0.000 0.000 0.500
Cd1 Cd 0.500 0.500 0.500
Ni1 Ni 0.000 0.000 0.000
# - Relative energy among the computed polymorphs: 0.088 eV per atom
# - Energy relative to the elements: -0.1 eV per formula unit
# - VASP energy: -12.6 eV/f.u.

***

No. 9
# GGA-PBE Y4Ho7Tm, optimized geometry
data_Y4Ho7Tm
_cell_length_a 11.969
_cell_length_b 5.856
_cell_length_c 12.607
_cell_angle_alpha 90.00
_cell_angle_beta 117.84
_cell_angle_gamma 90.00
_space_group_name_H-M_alt 'C 1 2/m 1'
_space_group_IT_number 12
loop_
_space_group_symop_operation_xyz
'x,y,z'
'-x,-y,-z'
'-x,y,-z'
'x,-y,z'
'x+1/2,y+1/2,z'
'-x+1/2,-y+1/2,-z'
'-x+1/2,y+1/2,-z'
'x+1/2,-y+1/2,z'
loop_
_atom_site_label
_atom_site_type_symbol
_atom_site_fract_x
_atom_site_fract_y
_atom_site_fract_z
Y1 Y 0.060 0.000 0.322
Y2 Y 0.138 0.500 0.776
Ho1 Ho 0.000 0.000 0.000
Ho2 Ho 0.134 0.500 0.502
Ho3 Ho 0.213 0.000 0.925
Ho4 Ho 0.249 0.000 0.684
Tm1 Tm 0.000 0.500 0.000
# - Energy relative to the elements: 3.5 eV per formula unit
# - VASP energy: -58.8 eV/f.u.

***

No. 10
# GGA-PBE LiNiCl, optimized geometry
data_LiNiCl
_cell_length_a 3.221
_cell_length_b 3.216
_cell_length_c 9.847
_cell_angle_alpha 90.00
_cell_angle_beta 98.63
_cell_angle_gamma 90.00
_space_group_name_H-M_alt 'P 1 m 1'
_space_group_IT_number 6
loop_
_space_group_symop_operation_xyz
'x,y,z'
'x,-y,z'
loop_
_atom_site_label
_atom_site_type_symbol
_atom_site_fract_x
_atom_site_fract_y
_atom_site_fract_z
Li1 Li 0.000 0.000 0.000
Li2 Li 0.359 0.500 0.676
Ni1 Ni 0.239 0.500 0.412
Ni2 Ni 0.784 0.000 0.511
Cl1 Cl 0.166 0.000 0.242
Cl2 Cl 0.463 0.500 0.914
# - ΔE_f (raw): -0.604 eV/atom
# - Relative energy among the computed polymorphs: 0.121 eV per atom
# - VASP energy: -11.4 eV/f.u.

***

No. 11
# GGA-PBE Ce2HfThP4, optimized geometry
data_Ce2HfThP4
_cell_length_a 6.930
_cell_length_b 4.004
_cell_length_c 6.942
_cell_angle_alpha 90.00
_cell_angle_beta 109.28
_cell_angle_gamma 90.00
_space_group_name_H-M_alt 'P 1 2/m 1'
_space_group_IT_number 10
loop_
_space_group_symop_operation_xyz
'x,y,z'
'-x,-y,-z'
'-x,y,-z'
'x,-y,z'
loop_
_atom_site_label
_atom_site_type_symbol
_atom_site_fract_x
_atom_site_fract_y
_atom_site_fract_z
Ce1 Ce 0.000 0.000 0.000
Ce2 Ce 0.000 0.500 0.500
Hf1 Hf 0.500 0.000 0.500
Th1 Th 0.500 0.500 0.000
P1 P 0.256 0.000 0.735
P2 P 0.266 0.500 0.270
# - Energy relative to the elements: -11.5 eV per formula unit
# - VASP energy: -62.4 eV/f.u.

***

No. 12
# GGA-PBE Ru3Pt2Rh8, optimized geometry
data_Ru3Pt2Rh8
_cell_length_a 10.409
_cell_length_b 8.324
_cell_length_c 4.841
_cell_angle_alpha 90.00
_cell_angle_beta 105.84
_cell_angle_gamma 90.00
_space_group_name_H-M_alt 'C 1 2/m 1'
_space_group_IT_number 12
loop_
_space_group_symop_operation_xyz
'x,y,z'
'-x,-y,-z'
'-x,y,-z'
'x,-y,z'
'x+1/2,y+1/2,z'
'-x+1/2,-y+1/2,-z'
'-x+1/2,y+1/2,-z'
'x+1/2,-y+1/2,z'
loop_
_atom_site_label
_atom_site_type_symbol
_atom_site_fract_x
_atom_site_fract_y
_atom_site_fract_z
Ru1 Ru 0.000 0.000 0.000
Ru2 Ru 0.000 0.210 0.500
Pt1 Pt 0.229 0.500 0.762
Rh1 Rh 0.038 0.500 0.278
Rh2 Rh 0.132 0.266 0.047
Rh3 Rh 0.178 0.000 0.675
# - Energy relative to the elements: 4.5 eV per formula unit
# - VASP energy: -94.2 eV/f.u.